The following is a PBE calculation of a relaxed Gd3H12Au5 crystal, from Alexandria via LeMat-Bulk.

calculated density = 10.48 g cm⁻³
calculated total energy = -5.0809 eV per atom

Lattice parameters (Å, degrees): 10.6521 10.6521 10.6521 109.47 109.47 109.47
With the nearest neighbours (Å) after each atom.
Positions (direct):
H 0.1282 0.7105 0.5320  2 Au 1.85-2.04
H 0.3215 0.5320 0.4038  2 Au 1.85-2.04
H 0.0320 0.6282 0.7105  2 Au 1.85-2.04
H 0.4680 0.6785 0.0962  2 Au 1.85-2.04
H 0.4038 0.0320 0.3215  2 Au 1.85-2.04
H 0.7105 0.1282 0.0320  2 Au 1.85-2.04
H 0.9680 0.3718 0.2895  2 Au 1.85-2.04
H 0.0823 0.9038 0.3718  2 Au 1.85-2.04
H 0.2895 0.4177 0.8215  2 Au 1.85-2.04
H 0.5823 0.8718 0.4038  2 Au 1.85-2.04
H 0.8215 0.9038 0.0320  2 Au 1.85-2.04
H 0.1785 0.0962 0.9680  2 Au 1.85-2.04
H 0.3718 0.9680 0.7895  2 Au 1.85-2.04
H 0.4038 0.3718 0.5823  2 Au 1.85-2.04
H 0.6785 0.2105 0.5823  2 Au 1.85-2.04
H 0.4177 0.1282 0.5962  2 Au 1.85-2.04
H 0.7895 0.4680 0.3718  2 Au 1.85-2.04
H 0.8718 0.5823 0.9038  2 Au 1.85-2.04
H 0.9038 0.8215 0.5320  2 Au 1.85-2.04
H 0.5320 0.2105 0.1282  2 Au 1.85-2.04
H 0.2105 0.5320 0.6282  2 Au 1.85-2.04
H 0.9177 0.0962 0.6282  2 Au 1.85-2.04
H 0.0962 0.9177 0.1282  2 Au 1.85-2.04
H 0.0320 0.4038 0.8215  2 Au 1.85-2.04
H 0.5823 0.7105 0.6785  2 Au 1.85-2.04
H 0.5962 0.6282 0.4177  2 Au 1.85-2.04
H 0.1282 0.4177 0.0962  2 Au 1.85-2.04
H 0.0823 0.1785 0.2105  2 Au 1.85-2.04
H 0.8215 0.9177 0.2895  2 Au 1.85-2.04
H 0.7895 0.3215 0.9177  2 Au 1.85-2.04
H 0.5962 0.9680 0.6785  2 Au 1.85-2.04
H 0.2895 0.8718 0.9680  2 Au 1.85-2.04
H 0.4177 0.2895 0.3215  2 Au 1.85-2.04
H 0.5320 0.3215 0.9038  2 Au 1.85-2.04
H 0.8718 0.2895 0.4680  2 Au 1.85-2.04
H 0.3215 0.7895 0.4177  2 Au 1.85-2.04
H 0.6282 0.0320 0.2105  2 Au 1.85-2.04
H 0.1785 0.0823 0.7105  2 Au 1.85-2.04
H 0.4680 0.7895 0.8718  2 Au 1.85-2.04
H 0.7105 0.5823 0.1785  2 Au 1.85-2.04
H 0.2105 0.6785 0.0823  2 Au 1.85-2.04
H 0.0962 0.1785 0.4680  2 Au 1.85-2.04
H 0.6282 0.5962 0.9177  2 Au 1.85-2.04
H 0.3718 0.4038 0.0823  2 Au 1.85-2.04
H 0.9177 0.8215 0.7895  2 Au 1.85-2.04
H 0.9038 0.0823 0.8718  2 Au 1.85-2.04
H 0.9680 0.5962 0.1785  2 Au 1.85-2.04
H 0.6785 0.4680 0.5962  2 Au 1.85-2.04
Gd 0.7500 0.8750 0.6250  8 H 2.31-2.42
Gd 0.3750 0.7500 0.6250  8 H 2.31-2.42
Gd 0.1250 0.2500 0.8750  8 H 2.31-2.42
Gd 0.8750 0.1250 0.2500  8 H 2.31-2.42
Gd 0.6250 0.3750 0.7500  8 H 2.31-2.42
Gd 0.1250 0.8750 0.7500  8 H 2.31-2.42
Gd 0.6250 0.2500 0.3750  8 H 2.31-2.42
Gd 0.8750 0.7500 0.1250  8 H 2.31-2.42
Gd 0.2500 0.6250 0.8750  8 H 2.31-2.42
Gd 0.2500 0.1250 0.3750  8 H 2.31-2.42
Gd 0.7500 0.3750 0.1250  8 H 2.31-2.42
Gd 0.3750 0.6250 0.2500  8 H 2.31-2.42
Au 0.0000 0.5000 0.0000  6 H 2.04
Au 0.3750 0.1250 0.7500  4 H 1.85
Au 0.6250 0.7500 0.8750  4 H 1.85
Au 0.0000 0.0000 0.0000  6 H 2.04
Au 0.5000 0.5000 0.0000  6 H 2.04
Au 0.0000 0.0000 0.5000  6 H 2.04
Au 0.2500 0.8750 0.1250  4 H 1.85
Au 0.6250 0.8750 0.2500  4 H 1.85
Au 0.5000 0.0000 0.0000  6 H 2.04
Au 0.8750 0.6250 0.7500  4 H 1.85
Au 0.7500 0.1250 0.8750  4 H 1.85
Au 0.2500 0.3750 0.6250  4 H 1.85
Au 0.7500 0.6250 0.3750  4 H 1.85
Au 0.3750 0.2500 0.1250  4 H 1.85
Au 0.1250 0.7500 0.3750  4 H 1.85
Au 0.0000 0.5000 0.5000  6 H 2.04
Au 0.8750 0.2500 0.6250  4 H 1.85
Au 0.1250 0.3750 0.2500  4 H 1.85
Au 0.5000 0.5000 0.5000  6 H 2.04
Au 0.5000 0.0000 0.5000  6 H 2.04